Entry 1:
Entry from the Alexandria database: a geometry-optimized LiCr4Ir structure (GGA-PBE).

Calculated values
* DFT formation energy: 147 meV/atom

Cell lengths 4.7250, 4.7250, 4.7250 Å; angles 60.00, 60.00, 60.00 degrees
Fractional coordinates of all 6 atoms:
Li 0.0000 0.0000 0.0000
Cr 0.3730 0.3730 0.3730
Cr 0.3730 0.3730 0.8811
Cr 0.3730 0.8811 0.3730
Cr 0.8811 0.3730 0.3730
Ir 0.7500 0.7500 0.7500

***

Entry 2:
Entry from the Alexandria database: a geometry-optimized K2TbNdS4 structure (GGA-PBE).

Calculated values
* formation energy without anion corrections: -1.866 eV/atom

Cell lengths 7.1624, 4.1340, 7.7647 Å; angles 90.00, 107.88, 90.00 degrees
Fractional coordinates of all 8 atoms:
K 0.0000 0.0000 0.0000
K 0.5000 0.5000 0.0000
Tb 0.0000 0.5000 0.5000
Nd 0.5000 0.0000 0.5000
S 0.2281 0.0000 0.7035
S 0.2581 0.5000 0.2937
S 0.7419 0.5000 0.7063
S 0.7719 0.0000 0.2965

***

Entry 3:
Entry from the Alexandria database: a geometry-optimized Sr3TeW structure (GGA-PBE).

Calculated values
* formation energy without anion corrections: 0.699 eV/atom

Cell lengths 6.1654, 6.1654, 6.1654 Å; angles 90.00, 90.00, 90.00 degrees
Fractional coordinates of all 5 atoms:
Sr 0.0000 0.0000 0.5000
Sr 0.0000 0.5000 0.0000
Sr 0.5000 0.0000 0.0000
Te 0.0000 0.0000 0.0000
W 0.5000 0.5000 0.5000

***

Entry 4:
Entry from the Alexandria database: a geometry-optimized K2HfTe2O6 structure (GGA-PBE).

Calculated values
* formation energy without anion corrections: -1.721 eV/atom

Cell lengths 6.6876, 6.6876, 6.6876 Å; angles 56.90, 56.90, 56.90 degrees
Fractional coordinates of all 11 atoms:
K 0.2059 0.2059 0.2059
K 0.7941 0.7941 0.7941
Hf 0.0000 0.0000 0.0000
Te 0.4074 0.4074 0.4074
Te 0.5926 0.5926 0.5926
O 0.2203 0.7724 0.7724
O 0.2276 0.2276 0.7797
O 0.2276 0.7797 0.2276
O 0.7724 0.2203 0.7724
O 0.7724 0.7724 0.2203
O 0.7797 0.2276 0.2276

***

Entry 5:
Entry from the Alexandria database: a geometry-optimized TbSm3Dy3 structure (GGA-PBE).

Calculated values
* DFT formation energy: 155 meV/atom

Cell lengths 14.7732, 14.7732, 14.7732 Å; angles 24.27, 24.27, 24.27 degrees
Fractional coordinates of all 14 atoms:
Tb 0.1667 0.1667 0.1667
Tb 0.8333 0.8333 0.8333
Sm 0.0371 0.6995 0.3682
Sm 0.3005 0.6318 0.9629
Sm 0.3682 0.0371 0.6995
Sm 0.6318 0.9629 0.3005
Sm 0.6995 0.3682 0.0371
Sm 0.9629 0.3005 0.6318
Dy 0.1008 0.4347 0.7681
Dy 0.2319 0.8992 0.5653
Dy 0.4347 0.7681 0.1008
Dy 0.5653 0.2319 0.8992
Dy 0.7681 0.1008 0.4347
Dy 0.8992 0.5653 0.2319

***

Entry 6:
Entry from the Alexandria database: a geometry-optimized MnTlZn2 structure (GGA-PBE).

Calculated values
* DFT formation energy: 302 meV/atom

Cell lengths 4.9204, 4.9204, 3.1613 Å; angles 90.00, 90.00, 110.33 degrees
Fractional coordinates of all 4 atoms:
Mn 0.0000 0.0000 0.0000
Tl 0.5000 0.5000 0.0000
Zn 0.0000 0.5000 0.5000
Zn 0.5000 0.0000 0.5000

***

Entry 7:
Entry from the Alexandria database: a geometry-optimized KBa2Hg structure (GGA-PBE).

Calculated values
* DFT formation energy: -176 meV/atom

Cell lengths 4.8104, 4.8104, 12.2580 Å; angles 99.78, 99.78, 58.57 degrees
Fractional coordinates of all 4 atoms:
K 0.0000 0.0000 0.0000
Ba 0.2211 0.2211 0.6720
Ba 0.7789 0.7789 0.3280
Hg 0.5000 0.5000 0.5000

***

Entry 8:
Entry from the Alexandria database: a geometry-optimized HfNi5B3 structure (GGA-PBE).

Calculated values
* DFT formation energy: -300 meV/atom

Cell lengths 5.4622, 5.4622, 10.5003 Å; angles 90.00, 90.00, 143.32 degrees
Fractional coordinates of all 18 atoms:
Hf 0.1395 0.8605 0.7500
Hf 0.8605 0.1395 0.2500
Ni 0.0000 0.0000 0.0000
Ni 0.0000 0.0000 0.5000
Ni 0.2179 0.7821 0.0762
Ni 0.2179 0.7821 0.4238
Ni 0.4298 0.5702 0.6427
Ni 0.4298 0.5702 0.8573
Ni 0.5702 0.4298 0.1427
Ni 0.5702 0.4298 0.3573
Ni 0.7821 0.2179 0.5762
Ni 0.7821 0.2179 0.9238
B 0.1294 0.8706 0.2500
B 0.4006 0.5994 0.0527
B 0.4006 0.5994 0.4473
B 0.5994 0.4006 0.5527
B 0.5994 0.4006 0.9473
B 0.8706 0.1294 0.7500

***

Entry 9:
Entry from the Alexandria database: a geometry-optimized SrAg2Rh structure (GGA-PBE).

Calculated values
* DFT formation energy: 26 meV/atom

Cell lengths 5.2708, 5.2708, 5.2708 Å; angles 130.37, 130.37, 72.82 degrees
Fractional coordinates of all 4 atoms:
Sr 0.0000 0.0000 0.0000
Ag 0.2500 0.7500 0.5000
Ag 0.5000 0.5000 0.0000
Rh 0.7500 0.2500 0.5000

***

Entry 10:
Entry from the Alexandria database: a geometry-optimized Sr4CaMg2 structure (GGA-PBE).

Calculated values
* DFT formation energy: 20 meV/atom

Cell lengths 9.5878, 9.5878, 9.5878 Å; angles 37.72, 37.72, 37.72 degrees
Fractional coordinates of all 7 atoms:
Sr 0.0891 0.0891 0.0891
Sr 0.3572 0.3572 0.3572
Sr 0.6428 0.6428 0.6428
Sr 0.9109 0.9109 0.9109
Ca 0.5000 0.5000 0.5000
Mg 0.2239 0.2239 0.2239
Mg 0.7761 0.7761 0.7761

***

Entry 11:
Entry from the Alexandria database: a geometry-optimized Cs7Au4Se structure (GGA-PBE).

Calculated values
* formation energy without anion corrections: -0.465 eV/atom

Cell lengths 9.0113, 9.0113, 15.1157 Å; angles 104.24, 104.24, 33.00 degrees
Fractional coordinates of all 12 atoms:
Cs 0.0000 0.0000 0.0000
Cs 0.2034 0.2034 0.8537
Cs 0.2845 0.2845 0.4164
Cs 0.5234 0.5234 0.2706
Cs 0.5851 0.5851 0.5813
Cs 0.7571 0.7571 0.1537
Cs 0.8980 0.8980 0.6880
Au 0.2412 0.2412 0.6352
Au 0.3680 0.3680 0.0508
Au 0.5472 0.5472 0.8168
Au 0.9410 0.9410 0.4484
Se 0.1398 0.1398 0.2104

***

Entry 12:
Entry from the Alexandria database: a geometry-optimized SrTl3N structure (GGA-PBE).

Calculated values
* formation energy without anion corrections: 1.724 eV/atom

Cell lengths 6.2220, 6.2220, 6.2220 Å; angles 90.00, 90.00, 90.00 degrees
Fractional coordinates of all 5 atoms:
Sr 0.0000 0.0000 0.0000
Tl 0.0000 0.0000 0.5000
Tl 0.0000 0.5000 0.0000
Tl 0.5000 0.0000 0.0000
N 0.5000 0.5000 0.5000

***

Calculated values (kg/m3) of ρ for the records, taken in order: 9063; 3868; 4069; 5141; 7610; 9027; 3598; 8951; 8124; 2464; 4619; 4928.